Entry 1:
# Na2TmAsSe4 PBE optimized geometry
# Formation energy from raw total energies   -1086 meV/atom
# Crystal system   orthorhombic
# Total energy   -4.30 eV/atom
data_Na2TmAsSe4
_chemical_formula_sum 'Na8 Tm4 As4 Se16'
_symmetry_space_group_name_H-M 'I m m a'
_symmetry_Int_Tables_number 74
_symmetry_space_group_name_Hall '-I 2b 2'
_cell_length_a 8.142
_cell_length_b 8.251
_cell_length_c 11.611
_cell_angle_alpha 90.00
_cell_angle_beta 90.00
_cell_angle_gamma 90.00
loop_
_atom_site_label
_atom_site_type_symbol
_atom_site_fract_x
_atom_site_fract_y
_atom_site_fract_z
Na1 Na 0.000 0.000 0.000
Na2 Na 0.250 0.250 0.250
Tm1 Tm 0.000 0.000 0.500
As1 As 0.250 0.250 0.750
Se1 Se 0.000 0.023 0.744
Se2 Se 0.239 0.250 0.512

***

Entry 2:
# NaUAsSe PBE optimized geometry
# Formation energy from raw total energies   -872 meV/atom
# D(E_F)   6.3 states/eV/f.u.
# Crystal system   trigonal
# Total energy   -6.06 eV/atom
data_NaUAsSe
_chemical_formula_sum 'Na3 U3 As3 Se3'
_symmetry_space_group_name_H-M 'R 3 m'
_symmetry_Int_Tables_number 160
_symmetry_space_group_name_Hall 'R 3 -2"'
_cell_length_a 4.1599
_cell_length_b 4.1599
_cell_length_c 21.0446
_cell_angle_alpha 90.00
_cell_angle_beta 90.00
_cell_angle_gamma 120.00
loop_
_atom_site_label
_atom_site_type_symbol
_atom_site_fract_x
_atom_site_fract_y
_atom_site_fract_z
Na1 Na 0.0000 0.0000 0.0000
U1 U 0.0000 0.0000 0.5070
As1 As 0.0000 0.0000 0.2446
Se1 Se 0.0000 0.0000 0.7628

***

Entry 3:
# NaVAs2Se PBE optimized geometry
# Formation energy from raw total energies   -165 meV/atom
# D(E_F)   3.6 states/eV/f.u.
# Crystal system   tetragonal
# Total energy   -4.81 eV/atom
data_NaVAs2Se
_chemical_formula_sum 'Na1 V1 As2 Se1'
_symmetry_space_group_name_H-M 'P 4/m m m'
_symmetry_Int_Tables_number 123
_symmetry_space_group_name_Hall '-P 4 2'
_cell_length_a 4.822
_cell_length_b 4.822
_cell_length_c 4.887
_cell_angle_alpha 90.00
_cell_angle_beta 90.00
_cell_angle_gamma 90.00
loop_
_atom_site_label
_atom_site_type_symbol
_atom_site_fract_x
_atom_site_fract_y
_atom_site_fract_z
Na1 Na 0.000 0.000 0.000
V1 V 0.500 0.500 0.500
As1 As 0.000 0.500 0.500
Se1 Se 0.500 0.500 0.000

***

Entry 4:
# NaVAsSe2 PBE optimized geometry
# Formation energy from raw total energies   1181 meV/atom
# D(E_F)   9.9 states/eV/f.u.
# Crystal system   tetragonal
# Total energy   -3.23 eV/atom
data_NaVAsSe2
_chemical_formula_sum 'Na1 V1 As1 Se2'
_symmetry_space_group_name_H-M 'P 4/m m m'
_symmetry_Int_Tables_number 123
_symmetry_space_group_name_Hall '-P 4 2'
_cell_length_a 5.030
_cell_length_b 5.030
_cell_length_c 4.822
_cell_angle_alpha 90.00
_cell_angle_beta 90.00
_cell_angle_gamma 90.00
loop_
_atom_site_label
_atom_site_type_symbol
_atom_site_fract_x
_atom_site_fract_y
_atom_site_fract_z
Na1 Na 0.000 0.000 0.000
V1 V 0.500 0.500 0.500
As1 As 0.000 0.000 0.500
Se1 Se 0.000 0.500 0.000

***

Entry 5:
# NaVAsSe2 PBE optimized geometry
# Formation energy from raw total energies   -305 meV/atom
# D(E_F)   2.4 states/eV/f.u.
# Crystal system   tetragonal
# Total energy   -4.72 eV/atom
data_NaVAsSe2
_chemical_formula_sum 'Na1 V1 As1 Se2'
_symmetry_space_group_name_H-M 'P 4/m m m'
_symmetry_Int_Tables_number 123
_symmetry_space_group_name_Hall '-P 4 2'
_cell_length_a 4.896
_cell_length_b 4.896
_cell_length_c 4.827
_cell_angle_alpha 90.00
_cell_angle_beta 90.00
_cell_angle_gamma 90.00
loop_
_atom_site_label
_atom_site_type_symbol
_atom_site_fract_x
_atom_site_fract_y
_atom_site_fract_z
Na1 Na 0.000 0.000 0.000
V1 V 0.500 0.500 0.500
As1 As 0.500 0.500 0.000
Se1 Se 0.000 0.500 0.500

***

Entry 6:
# NaVAs2Se PBE optimized geometry
# Formation energy from raw total energies   1326 meV/atom
# D(E_F)   9.9 states/eV/f.u.
# Crystal system   tetragonal
# Total energy   -3.32 eV/atom
data_NaVAs2Se
_chemical_formula_sum 'Na1 V1 As2 Se1'
_symmetry_space_group_name_H-M 'P 4/m m m'
_symmetry_Int_Tables_number 123
_symmetry_space_group_name_Hall '-P 4 2'
_cell_length_a 4.894
_cell_length_b 4.894
_cell_length_c 4.974
_cell_angle_alpha 90.00
_cell_angle_beta 90.00
_cell_angle_gamma 90.00
loop_
_atom_site_label
_atom_site_type_symbol
_atom_site_fract_x
_atom_site_fract_y
_atom_site_fract_z
Na1 Na 0.000 0.000 0.000
V1 V 0.500 0.500 0.500
As1 As 0.000 0.500 0.000
Se1 Se 0.000 0.000 0.500

***

Entry 7:
# NaAsWSe2 PBE optimized geometry
# Formation energy from raw total energies   1741 meV/atom
# D(E_F)   9.3 states/eV/f.u.
# Crystal system   tetragonal
# Total energy   -3.44 eV/atom
data_NaAsWSe2
_chemical_formula_sum 'Na1 As1 W1 Se2'
_symmetry_space_group_name_H-M 'P 4/m m m'
_symmetry_Int_Tables_number 123
_symmetry_space_group_name_Hall '-P 4 2'
_cell_length_a 4.858
_cell_length_b 4.858
_cell_length_c 4.741
_cell_angle_alpha 90.00
_cell_angle_beta 90.00
_cell_angle_gamma 90.00
loop_
_atom_site_label
_atom_site_type_symbol
_atom_site_fract_x
_atom_site_fract_y
_atom_site_fract_z
Na1 Na 0.000 0.000 0.000
As1 As 0.000 0.000 0.500
W1 W 0.500 0.500 0.500
Se1 Se 0.000 0.500 0.000

***

Entry 8:
# NaAsWSe2 PBE optimized geometry
# Formation energy from raw total energies   -30 meV/atom
# D(E_F)   3.5 states/eV/f.u.
# Crystal system   tetragonal
# Total energy   -5.21 eV/atom
data_NaAsWSe2
_chemical_formula_sum 'Na1 As1 W1 Se2'
_symmetry_space_group_name_H-M 'P 4/m m m'
_symmetry_Int_Tables_number 123
_symmetry_space_group_name_Hall '-P 4 2'
_cell_length_a 5.044
_cell_length_b 5.044
_cell_length_c 4.907
_cell_angle_alpha 90.00
_cell_angle_beta 90.00
_cell_angle_gamma 90.00
loop_
_atom_site_label
_atom_site_type_symbol
_atom_site_fract_x
_atom_site_fract_y
_atom_site_fract_z
Na1 Na 0.000 0.000 0.000
As1 As 0.500 0.500 0.000
W1 W 0.500 0.500 0.500
Se1 Se 0.000 0.500 0.500

***

Q: Among the records above, which one has the highest total energy?
A: number 4